one | DFT (GGA-PBE) results for a relaxed Li7Zn3Cd crystal.

The calculation puts the volume at 18.15 Å³/atom. The value obtained for the total magnetization is 0.00 μB per formula unit.

The structure belongs to space group C2/m (No. 12); the cell edges are 9.6574, 9.6382 and 4.9039 Å and the angles 90.00°, 118.96° and 90.00°. The distinct sites, in fractional coordinates, are Li at (0.0000, 0.0000, 0.0000), Li at (0.1718, 0.2741, 0.6724), Li at (0.1732, 0.5000, 0.1655), Zn at (0.0000, 0.2718, 0.0000), Zn at (0.0000, 0.5000, 0.5000) and Cd at (0.0000, 0.0000, 0.5000).

---

two | DFT (GGA-PBE) results for a relaxed Li7Zn3Cd crystal.

The calculation puts the volume at 17.33 Å³/atom. The value obtained for the total magnetization is 0.00 μB per formula unit.

The structure belongs to space group Cmcm (No. 63); the cell edges are 2.8300, 21.5195 and 12.5179 Å and the angles 90.00°, 90.00° and 90.00°. The distinct sites, in fractional coordinates, are Li at (0.0000, 0.0496, 0.0724), Li at (0.0000, 0.0905, 0.6303), Li at (0.0000, 0.1470, 0.2500), Li at (0.0000, 0.2352, 0.6084), Zn at (0.0000, 0.3303, 0.2500), Zn at (0.0000, 0.3465, 0.5269) and Cd at (0.0000, 0.4949, 0.7500).

---

Verdict on stability: one comes out at the bottom.